CrAsO4: optimized geometry, GGA+U.

POSCAR file:
```
CrAsO4
1.0
9.134 0.000 0.000
0.000 6.429 0.000
0.000 0.000 4.866
Cr As O
4 4 16
direct
0.000 0.000 0.000
0.000 0.500 0.000
0.500 0.000 0.500
0.500 0.500 0.500
0.180 0.250 0.476
0.320 0.750 0.976
0.680 0.250 0.024
0.820 0.750 0.524
0.114 0.250 0.816
0.126 0.025 0.326
0.126 0.475 0.326
0.129 0.750 0.914
0.371 0.250 0.414
0.374 0.525 0.826
0.374 0.975 0.826
0.386 0.750 0.316
0.614 0.250 0.684
0.626 0.025 0.174
0.626 0.475 0.174
0.629 0.750 0.586
0.871 0.250 0.086
0.874 0.525 0.674
0.874 0.975 0.674
0.886 0.750 0.184
```

Summary:
**Total magnetic moment**: 0.500 μB per atom
**Fermi-level density of states**: 0.000 states/eV per atom
**Space group**: No. 62
**DFT total energy**: -6.825 eV/atom